(1)
Below is an optimized crystal structure of VCr2RhN, with properties calculated at the PBE level.

Raw formation energy: -0.409 eV/atom
SG: No. 123
Total energy: -46.09 eV per cell
Total moment: 1.32 μB per cell
Density of states at the Fermi level: 4.90 states/eV per cell

Cell lengths 3.8215, 3.8215, 3.9334 Å; angles 90.00, 90.00, 90.00 degrees
Last column: nearest neighbours and their distance in Å.
Fractional coordinates of all 5 atoms:
V (0.0000, 0.0000, 0.0000)  2 N 1.97
Cr (0.0000, 0.5000, 0.5000)  2 N 1.91
Cr (0.5000, 0.0000, 0.5000)  2 N 1.91
Rh (0.5000, 0.5000, 0.0000)  4 V 2.70, 8 Cr 2.74
N (0.0000, 0.0000, 0.5000)  4 Cr 1.91, 2 V 1.97


(2)
Below is an optimized crystal structure of CrRhW2N, with properties calculated at the PBE level.

Raw formation energy: -0.121 eV/atom
SG: No. 123
Total energy: -51.81 eV per cell
Total moment: 0.00 μB per cell
Density of states at the Fermi level: 4.64 states/eV per cell

Cell lengths 4.0980, 4.0980, 3.8584 Å; angles 90.00, 90.00, 90.00 degrees
Last column: nearest neighbours and their distance in Å.
Fractional coordinates of all 5 atoms:
Cr (0.0000, 0.0000, 0.0000)  2 N 1.93
Rh (0.5000, 0.5000, 0.0000)  8 W 2.81, 4 Cr 2.90
W (0.0000, 0.5000, 0.5000)  2 N 2.05
W (0.5000, 0.0000, 0.5000)  2 N 2.05
N (0.0000, 0.0000, 0.5000)  2 Cr 1.93, 4 W 2.05